# SiPtS2N, optimized geometry, DFT PBE-GGA
# Excess energy over the best structure of this formula in the dataset: 300 meV/atom
# Calculated density: 5.57 Mg/m³
# Volume: 89.8 Å³/cell
# Symmetry: P4/mmm, No. 123
# Formation energy without anion corrections: 0.805 eV/atom
data_SiPtS2N
_chemical_formula_sum 'Si1 Pt1 S2 N1'
_cell_length_a 4.941
_cell_length_b 4.941
_cell_length_c 3.678
_cell_angle_alpha 90.00
_cell_angle_beta 90.00
_cell_angle_gamma 90.00
_symmetry_space_group_name_H-M 'P 1'
_symmetry_Int_Tables_number 1
_symmetry_space_group_name_Hall 'P 1'
loop_
_atom_site_label
_atom_site_fract_x
_atom_site_fract_y
_atom_site_fract_z
_atom_site_occupancy
Si1 0.000 0.000 0.000 1
Pt1 0.500 0.500 0.500 1
S1 0.000 0.500 0.500 1
S2 0.500 0.000 0.500 1
N1 0.500 0.500 0.000 1